Compound: CeLuIrOs
Source: Alexandria
Functional: PBE
Structure: optimized geometry

The value obtained for the formation energy is -479 meV/atom. Its magnetic moment is 0.0 μB/f.u. The calculation puts the electronic total energy at -129.8 eV per cell.

It has space group F-43m (No. 216), with a = 6.8400 Å, b = 6.8400 Å, c = 6.8400 Å, α = 90.00°, β = 90.00° and γ = 90.00°. The inequivalent atoms are Ce at (0.0000, 0.0000, 0.0000), Lu at (0.0000, 0.0000, 0.5000), Ir at (0.2500, 0.2500, 0.2500) and Os at (0.2500, 0.2500, 0.7500).